1.
A plane-wave DFT calculation with PBE was carried out for a relaxed structure of Rb5Nb2Se6.

Raw total energy, eV/atom: -4.586
Magnetization, μB/atom: 0.085

Cell: 13.6791 8.5875 17.8627 Å, 90.00 102.53 90.00°
Closest atoms and distances in Å follow each position.
Space group C2/c (No. 15)
Inequivalent atoms, fractional coordinates:
Rb (0.0000, 0.1284, 0.2500) (multiplicity 4)  4 Se 3.46-3.51
Rb (0.0612, 0.2402, 0.9986) (multiplicity 8)  5 Se 3.47-3.78
Rb (0.1595, 0.4022, 0.7262) (multiplicity 8)  5 Se 3.39-3.51
Nb (0.2291, 0.3556, 0.4327) (multiplicity 8)  4 Se 2.47-2.54
Se (0.0595, 0.4492, 0.3736) (multiplicity 8)  1 Nb 2.47
Se (0.1433, 0.0494, 0.6368) (multiplicity 8)  1 Nb 2.49
Se (0.2224, 0.0603, 0.4291) (multiplicity 8)  2 Nb 2.52-2.54

***

2.
A plane-wave DFT calculation with PBE was carried out for a relaxed structure of TaReNi.

Raw total energy, eV/atom: -10.061
Energy of formation, eV/f.u.: -0.1
Magnetization, μB/atom: 0.000
Energy above the lowest structure with this stoichiometry, meV per atom: 0

Cell: 3.3416 4.2475 12.3982 Å, 90.00 90.00 90.00°
Closest atoms and distances in Å follow each position.
Space group Fmm2 (No. 42)
Inequivalent atoms, fractional coordinates:
Ta (0.0000, 0.0000, 0.0000) (multiplicity 4)  4 Ni 2.63-2.94, 4 Ta 2.70, 2 Re 2.81
Re (0.0000, 0.0000, 0.6817) (multiplicity 4)  2 Ni 2.54, 4 Re 2.70, 2 Ta 2.81
Ni (0.0000, 0.0000, 0.3362) (multiplicity 4)  2 Re 2.54, 2 Ta 2.63, 4 Ni 2.70

***

3.
A plane-wave DFT calculation with PBE was carried out for a relaxed structure of SiBrCl2.

Raw total energy, eV/atom: -2.300
Magnetization, μB/atom: 0.000
Energy above the lowest structure with this stoichiometry, meV per atom: 999

Cell: 4.5855 4.5855 4.1720 Å, 90.00 90.00 90.00°
Closest atoms and distances in Å follow each position.
Space group P4/mmm (No. 123)
Inequivalent atoms, fractional coordinates:
Si (0.0000, 0.0000, 0.0000) (multiplicity 1)  8 Cl 3.10, 4 Br 3.24
Br (0.5000, 0.5000, 0.0000) (multiplicity 1)  8 Cl 3.10, 4 Si 3.24
Cl (0.0000, 0.5000, 0.5000) (multiplicity 2)  4 Br 3.10, 4 Si 3.10, 4 Cl 3.24

***

4.
A plane-wave DFT calculation with PBE was carried out for a relaxed structure of Ca4ScNb3N8.

Raw total energy, eV/atom: -8.189
Magnetization, μB/atom: 0.000

Cell: 6.4427 6.4427 16.6901 Å, 90.00 90.00 120.00°
Closest atoms and distances in Å follow each position.
Space group R-3m (No. 166, hexagonal axes)
Inequivalent atoms, fractional coordinates:
Ca (0.0000, 0.0000, 0.0000) (multiplicity 3)  6 N 2.41
Ca (0.0000, 0.5000, 0.0000) (multiplicity 9)  6 N 2.44-2.47
Sc (0.0000, 0.0000, 0.5000) (multiplicity 3)  6 N 2.25
Nb (0.0000, 0.5000, 0.5000) (multiplicity 9)  6 N 2.18-2.22
N (0.0000, 0.0000, 0.2391) (multiplicity 6)  3 Nb 2.22, 3 Ca 2.44
N (0.0089, 0.5045, 0.7624) (multiplicity 18)  2 Nb 2.18, 1 Sc 2.25, 1 Ca 2.41

***

5.
A plane-wave DFT calculation with PBE was carried out for a relaxed structure of GdTcAs2.

Raw total energy, eV/atom: -8.529
Energy of formation, eV/f.u.: -0.4
Magnetization, μB/atom: 1.878

Cell: 3.2039 3.2039 28.3687 Å, 90.00 90.00 120.00°
Closest atoms and distances in Å follow each position.
Space group R-3m (No. 166, hexagonal axes)
Inequivalent atoms, fractional coordinates:
Gd (0.0000, 0.0000, 0.0000) (multiplicity 3)  2 As 2.96, 6 Gd 3.20
Tc (0.0000, 0.0000, 0.5000) (multiplicity 3)  6 As 2.56
As (0.0000, 0.0000, 0.1044) (multiplicity 6)  3 Tc 2.56

***

6.
A plane-wave DFT calculation with PBE was carried out for a relaxed structure of Be2HgBr.

Raw total energy, eV/atom: -2.157
Magnetization, μB/atom: 0.000
Energy above the lowest structure with this stoichiometry, meV per atom: 12

Cell: 15.0052 3.2291 3.8151 Å, 90.00 91.04 90.00°
Closest atoms and distances in Å follow each position.
Space group Cm (No. 8)
Inequivalent atoms, fractional coordinates:
Be (0.0000, 0.0000, 0.0000) (multiplicity 2)  2 Be 2.44, 4 Hg 2.50
Be (0.1218, 0.5000, 0.0091) (multiplicity 2)  2 Br 2.17
Hg (0.0059, 0.5000, 0.5007) (multiplicity 2)  6 Be 2.50-2.58
Br (0.2185, 0.0000, 0.0166) (multiplicity 2)  2 Be 2.17

***

7.
A plane-wave DFT calculation with PBE was carried out for a relaxed structure of Ta2GaIr2.

Raw total energy, eV/atom: -9.298
Energy of formation, eV/f.u.: -2.0
Magnetization, μB/atom: 0.000
Energy above the lowest structure with this stoichiometry, meV per atom: 0

Cell: 7.6558 7.6558 2.9367 Å, 90.00 90.00 90.00°
Closest atoms and distances in Å follow each position.
Space group P4/mbm (No. 127)
Inequivalent atoms, fractional coordinates:
Ta (0.1633, 0.3367, 0.0000) (multiplicity 4)  6 Ir 2.67-2.70, 2 Ta 2.94
Ga (0.0000, 0.0000, 0.5000) (multiplicity 2)  2 Ga 2.94, 4 Ir 3.00, 8 Ta 3.22
Ir (0.1313, 0.6313, 0.5000) (multiplicity 4)  6 Ta 2.67-2.70, 3 Ir 2.84-2.94

***

8.
A plane-wave DFT calculation with PBE was carried out for a relaxed structure of Tc2NiHRu.

Raw total energy, eV/atom: -7.720
Magnetization, μB/atom: 0.000
Energy above the lowest structure with this stoichiometry, meV per atom: 0

Cell: 3.8553 3.8553 3.7882 Å, 90.00 90.00 90.00°
Closest atoms and distances in Å follow each position.
Space group P4/mmm (No. 123)
Inequivalent atoms, fractional coordinates:
Tc (0.0000, 0.5000, 0.0000) (multiplicity 2)  2 H 1.93
Ni (0.0000, 0.0000, 0.5000) (multiplicity 1)  2 H 1.89
H (0.0000, 0.0000, 0.0000) (multiplicity 1)  2 Ni 1.89, 4 Tc 1.93
Ru (0.5000, 0.5000, 0.5000) (multiplicity 1)  8 Tc 2.70, 4 Ni 2.73

***

9.
A plane-wave DFT calculation with PBE was carried out for a relaxed structure of KInAsSe3.

Raw total energy, eV/atom: -3.632
Magnetization, μB/atom: 0.000

Cell: 8.9433 4.0300 10.6034 Å, 90.00 105.52 90.00°
Closest atoms and distances in Å follow each position.
Space group P2_1/m (No. 11)
Inequivalent atoms, fractional coordinates:
K (0.2103, 0.2500, 0.2118) (multiplicity 2)  7 Se 3.38-3.61
In (0.1407, 0.2500, 0.6395) (multiplicity 2)  4 Se 2.60-2.87
As (0.3367, 0.7500, 0.8733) (multiplicity 2)  5 Se 2.61-2.90
Se (0.1034, 0.2500, 0.8749) (multiplicity 2)  1 In 2.60, 2 As 2.90
Se (0.1852, 0.7500, 0.4881) (multiplicity 2)  3 In 2.67-2.87
Se (0.4853, 0.7500, 0.1477) (multiplicity 2)  3 As 2.61-2.86

***

10.
A plane-wave DFT calculation with PBE was carried out for a relaxed structure of Hf5Pt4O.

Raw total energy, eV/atom: -9.093
Magnetization, μB/atom: 0.000

Cell: 8.4951 8.4951 4.9063 Å, 90.00 90.00 90.00°
Closest atoms and distances in Å follow each position.
Space group I4/m (No. 87)
Inequivalent atoms, fractional coordinates:
Hf (0.0000, 0.0000, 0.0000) (multiplicity 2)  2 O 2.45
Hf (0.1293, 0.7690, 0.5000) (multiplicity 8)  1 O 2.25
Pt (0.0608, 0.6570, 0.0000) (multiplicity 8)  6 Hf 2.69-3.01, 1 Pt 2.86
O (0.0000, 0.0000, 0.5000) (multiplicity 2)  6 Hf 2.25-2.45

***

11.
A plane-wave DFT calculation with PBE was carried out for a relaxed structure of Y4CuPt.

Raw total energy, eV/atom: -5.441
Energy of formation, eV/f.u.: 3.3
Magnetization, μB/atom: 0.000
Energy above the lowest structure with this stoichiometry, meV per atom: 895

Cell: 8.5184 8.5184 8.5184 Å, 90.00 90.00 90.00°
Closest atoms and distances in Å follow each position.
Space group F-43m (No. 216)
Inequivalent atoms, fractional coordinates:
Y (0.1242, 0.1242, 0.3758) (multiplicity 16)  6 Y 2.99-3.03
Cu (0.0000, 0.0000, 0.0000) (multiplicity 4)  12 Y 3.53, 4 Pt 3.69
Pt (0.2500, 0.2500, 0.7500) (multiplicity 4)  12 Y 3.53, 4 Cu 3.69

***

12.
A plane-wave DFT calculation with PBE was carried out for a relaxed structure of RbBiS2.

Raw total energy, eV/atom: -3.773
Magnetization, μB/atom: 0.000

Cell: 4.2241 4.2241 27.2956 Å, 90.00 90.00 120.00°
Closest atoms and distances in Å follow each position.
Space group R-3m (No. 166, hexagonal axes)
Inequivalent atoms, fractional coordinates:
Rb (0.0000, 0.0000, 0.0000) (multiplicity 3)  2 S 3.04
Bi (0.0000, 0.0000, 0.5000) (multiplicity 3)  6 S 2.87
S (0.0000, 0.0000, 0.1113) (multiplicity 6)  3 Bi 2.87, 1 Rb 3.04